! K2AgH6Pd PBE relaxed; values from VASP
! Magnetization, μB per cell: 0.00
! N(E_F), states/eV/cell: 2.776
! VASP energy, eV per atom: -3.13
! Crystal system: trigonal
&SYSTEM
  ibrav = 0, nat = 10, ntyp = 4
/
ATOMIC_SPECIES
K 39.10 K.upf
Ag 107.87 Ag.upf
H 1.01 H.upf
Pd 106.42 Pd.upf
ATOMIC_POSITIONS angstrom
K 0.000 3.296 1.210
K 2.854 1.648 4.090
Ag 0.000 0.000 2.650
H 0.000 1.372 4.228
H -1.666 4.258 4.228
H 1.188 0.686 1.072
H 1.666 4.258 4.228
H 4.520 0.686 1.072
H 2.854 3.572 1.072
Pd 0.000 0.000 0.000
CELL_PARAMETERS angstrom
5.708 0.000 0.000
-2.854 4.943 0.000
0.000 0.000 5.300